No. 1
Crystalline Er3TlS at its relaxed geometry. Source: the Alexandria database, functional PBE.

abc: 8.952 3.885 14.630
angles: 90.00 90.00 90.00
Space group Pnma (No. 62)
Unique sites:
Er1 0.031 0.250 0.111 (multiplicity 4)
Er2 0.167 0.250 0.511 (multiplicity 4)
Er3 0.212 0.750 0.282 (multiplicity 4)
Tl1 0.063 0.750 0.672 (multiplicity 4)
S1 0.159 0.250 0.945 (multiplicity 4)

The energy above the most stable polymorph in this dataset comes out at 0.0 meV/atom. The formation energy from raw total energies comes out at -962 meV per atom.

No. 2
Crystalline Hg3S2Cl at its relaxed geometry. Source: the Alexandria database, functional PBE.

abc: 4.477 13.274 6.062
angles: 90.00 90.00 90.00
Space group Imm2 (No. 44)
Unique sites:
Hg1 0.000 0.000 0.000 (multiplicity 2)
Hg2 0.000 0.310 0.928 (multiplicity 4)
S1 0.000 0.166 0.223 (multiplicity 4)
Cl1 0.000 0.500 0.215 (multiplicity 2)

The formation energy from raw total energies comes out at -152 meV per atom.

No. 3
Crystalline Pm3MgPd3 at its relaxed geometry. Source: the Alexandria database, functional PBE.

abc: 4.392 10.649 14.134
angles: 90.00 90.00 90.00
Space group Cmcm (No. 63)
Unique sites:
Pm1 0.000 0.026 0.250 (multiplicity 4)
Pm2 0.000 0.299 0.107 (multiplicity 8)
Mg1 0.000 0.000 0.000 (multiplicity 4)
Pd1 0.000 0.251 0.750 (multiplicity 4)
Pd2 0.000 0.412 0.591 (multiplicity 8)

The energy above the most stable polymorph in this dataset comes out at 0.0 meV/atom. The calculation puts the formation energy at -0.719 eV per atom.

No. 4
Crystalline BaTl2InCo at its relaxed geometry. Source: the Alexandria database, functional PBE.

abc: 5.175 5.175 5.096
angles: 90.00 90.00 90.00
Space group P4/mmm (No. 123)
Unique sites:
Ba1 0.000 0.000 0.000 (multiplicity 1)
Tl1 0.000 0.500 0.500 (multiplicity 2)
In1 0.500 0.500 0.000 (multiplicity 1)
Co1 0.500 0.500 0.500 (multiplicity 1)

The calculation puts the formation energy at -0.115 eV per atom.

No. 5
Crystalline TcPdI2O at its relaxed geometry. Source: the Alexandria database, functional PBE.

abc: 5.518 5.518 3.713
angles: 90.00 90.00 90.00
Space group P4/mmm (No. 123)
Unique sites:
Tc1 0.000 0.000 0.000 (multiplicity 1)
Pd1 0.500 0.500 0.500 (multiplicity 1)
I1 0.000 0.500 0.000 (multiplicity 2)
O1 0.000 0.000 0.500 (multiplicity 1)

The energy above the most stable polymorph in this dataset comes out at 0.0 meV/atom. The formation energy from raw total energies comes out at -21 meV per atom.

No. 6
Crystalline NaLiHPb2 at its relaxed geometry. Source: the Alexandria database, functional PBE.

abc: 5.388 5.388 3.690
angles: 90.00 90.00 90.00
Space group P4/mmm (No. 123)
Unique sites:
Na1 0.000 0.000 0.000 (multiplicity 1)
Li1 0.500 0.500 0.000 (multiplicity 1)
H1 0.500 0.500 0.500 (multiplicity 1)
Pb1 0.000 0.500 0.500 (multiplicity 2)

For the final energy, the calculation gives -14.119 eV/f.u.

No. 7
Crystalline ErSc6Sn at its relaxed geometry. Source: the Alexandria database, functional PBE.

abc: 8.150 6.381 8.470
angles: 90.00 102.77 90.00
Space group C2/m (No. 12)
Unique sites:
Er1 0.000 0.000 0.000 (multiplicity 2)
Sc1 0.128 0.500 0.927 (multiplicity 4)
Sc2 0.215 0.260 0.301 (multiplicity 8)
Sn1 0.000 0.500 0.500 (multiplicity 2)

The energy above the most stable polymorph in this dataset comes out at 226.9 meV/atom. The calculation puts the formation energy at 0.100 eV per atom.

No. 8
Crystalline Be4CuRe at its relaxed geometry. Source: the Alexandria database, functional PBE.

abc: 6.127 6.127 6.127
angles: 90.00 90.00 90.00
Space group F-43m (No. 216)
Unique sites:
Be1 0.123 0.123 0.123 (multiplicity 16)
Cu1 0.000 0.000 0.500 (multiplicity 4)
Re1 0.250 0.250 0.750 (multiplicity 4)

The calculation puts the formation energy at -0.031 eV per atom.

No. 9
Crystalline CdGa2Rh at its relaxed geometry. Source: the Alexandria database, functional PBE.

abc: 3.263 3.263 6.376
angles: 90.00 90.00 90.00
Space group P4/mmm (No. 123)
Unique sites:
Cd1 0.000 0.000 0.000 (multiplicity 1)
Ga1 0.500 0.500 0.291 (multiplicity 2)
Rh1 0.000 0.000 0.500 (multiplicity 1)

The calculation puts the formation energy at -0.200 eV per atom.

No. 10
Crystalline Cs4Tl2Pb3 at its relaxed geometry. Source: the Alexandria database, functional PBE.

abc: 20.079 5.114 9.040
angles: 90.00 104.93 90.00
Space group C2/m (No. 12)
Unique sites:
Cs1 0.077 0.000 0.388 (multiplicity 4)
Cs2 0.240 0.500 0.207 (multiplicity 4)
Tl1 0.104 0.000 0.970 (multiplicity 4)
Pb1 0.000 0.500 0.000 (multiplicity 2)
Pb2 0.082 0.500 0.736 (multiplicity 4)

The calculation puts the formation energy at -0.088 eV per atom.

No. 11
Crystalline CsSrSb3 at its relaxed geometry. Source: the Alexandria database, functional PBE.

abc: 6.102 6.102 6.102
angles: 90.00 90.00 90.00
Space group Pm-3m (No. 221)
Unique sites:
Cs1 0.000 0.000 0.000 (multiplicity 1)
Sr1 0.500 0.500 0.500 (multiplicity 1)
Sb1 0.000 0.000 0.500 (multiplicity 3)

The energy above the most stable polymorph in this dataset comes out at 600.5 meV/atom. The formation energy from raw total energies comes out at 758 meV per atom.

No. 12
Crystalline La3Tm2Mg3 at its relaxed geometry. Source: the Alexandria database, functional PBE.

abc: 3.807 5.646 22.893
angles: 90.00 90.00 90.00
Space group Immm (No. 71)
Unique sites:
La1 0.000 0.000 0.000 (multiplicity 2)
La2 0.000 0.500 0.127 (multiplicity 4)
Tm1 0.000 0.000 0.236 (multiplicity 4)
Mg1 0.000 0.000 0.500 (multiplicity 2)
Mg2 0.000 0.500 0.378 (multiplicity 4)

The calculation puts the formation energy at -0.067 eV per atom.

Number 1: DOS at the Fermi energy 15.09 states/eV/cell. Number 2: DOS at the Fermi energy 3.84 states/eV/cell. Number 3: DOS at the Fermi energy 19.28 states/eV/cell. Number 4: DOS at the Fermi energy 3.12 states/eV/cell. Number 5: DOS at the Fermi energy 5.33 states/eV/cell. Number 6: DOS at the Fermi energy 1.71 states/eV/cell. Number 7: DOS at the Fermi energy 23.84 states/eV/cell. Number 8: DOS at the Fermi energy 15.27 states/eV/cell. Number 9: DOS at the Fermi energy 1.77 states/eV/cell. Number 10: DOS at the Fermi energy 12.12 states/eV/cell. Number 11: DOS at the Fermi energy 4.90 states/eV/cell. Number 12: DOS at the Fermi energy 19.69 states/eV/cell.